Here is an optimized crystal structure of KLaHf2Fe from Alexandria. Energies are from GGA-PBE.

Calculated values
- VASP energy (eV for the cell shown) = -22.5
- total magnetic moment (μB/f.u.) = 0.0
- crystal system = tetragonal

```
KLaHf2Fe
1.0
4.898 0.000 0.000
0.000 4.898 0.000
0.000 0.000 5.211
K La Hf Fe
1 1 2 1
Cartesian
0.000 0.000 0.000
0.000 0.000 2.605
0.000 2.449 0.000
2.449 0.000 0.000
2.449 2.449 2.605
```